Computed, not measured: a geometry-optimized PaFeHgO6 structure at the PBE with a Hubbard U level of DFT.

```
9
Lattice="5.3248 0.0000 0.0000 -2.6624 4.6114 0.0000 0.0000 0.0000 4.7531" Properties=species:S:1:pos:R:3 pbc="T T T"
Pa 0.0000 0.0000 0.0000
Fe 2.6624 1.5371 2.3766
Hg 0.0000 3.0743 2.3766
O 1.7905 0.1781 3.4922
O 1.0495 1.4616 1.2609
O 3.5343 0.1781 1.2609
O 1.9213 2.9717 3.4922
O 4.2753 1.4616 3.4922
O 3.4034 2.9717 1.2609
```

Summary:
mass density	8.30	Mg/m³
size of the total moment	0.49	μB per cell
E	-57.90	eV for the cell shown